Compound: BaLa4Be
Source: the Alexandria database
Functional: PBE
Structure: relaxed

Summary:
The value obtained for the formation energy is 610 meV per atom. The total DFT energy (no corrections) is -0.133 Ha/atom.

a b c (Å): 9.5355 9.5355 9.5355
angles (deg): 90.00 90.00 90.00
Last column: nearest neighbours and their distance in Å.
Space group F-43m (No. 216)
Unique sites:
Ba 0.0000 0.0000 0.0000 x4  12 La 3.97, 4 Be 4.13
La 0.1205 0.1205 0.3795 x16  6 La 3.25-3.49
Be 0.2500 0.2500 0.7500 x4  12 La 3.94, 4 Ba 4.13


Compound: KTc4O8
Source: the Alexandria database
Functional: PBE
Structure: relaxed

Summary:
The total DFT energy (no corrections) is -0.285 Ha/atom.

a b c (Å): 10.1900 10.1900 2.8097
angles (deg): 90.00 90.00 90.00
Last column: nearest neighbours and their distance in Å.
Space group I4/m (No. 87)
Unique sites:
K 0.0000 0.0000 0.0000 x2  8 O 2.64, 2 K 2.81
Tc 0.1656 0.3207 0.0000 x8  6 O 2.02-2.08
O 0.0363 0.6659 0.0000 x8  3 Tc 2.02-2.06
O 0.1361 0.1727 0.5000 x8  3 Tc 2.02-2.08


Compound: CaIn2Ru2
Source: the Alexandria database
Functional: PBE
Structure: relaxed

Summary:
The calculation puts the energy above the most stable polymorph in this dataset at 17.7 kJ/mol of formula units. The value obtained for the formation energy is 33 meV per atom. The total DFT energy (no corrections) is -0.190 Ha/atom.

a b c (Å): 4.6058 4.6058 10.4390
angles (deg): 90.00 90.00 90.00
Last column: nearest neighbours and their distance in Å.
Space group I4/mmm (No. 139)
Unique sites:
Ca 0.0000 0.0000 0.0000 x2  8 Ru 3.46, 8 In 3.48
In 0.0000 0.5000 0.2500 x4  4 Ru 2.72
Ru 0.0000 0.0000 0.3894 x4  1 Ru 2.31


| no. | total moment (μB/f.u.) |
| --- | --- |
| 1 | 0.00 |
| 2 | 0.00 |
| 3 | 0.00 |